1.
# PBEsol BeSb2PbI, relaxed
# ρ	7.4	g/cm³
# space group	P4/mmm (123)
data_BeSb2PbI
_chemical_formula_sum 'Be1 Sb2 Pb1 I1'
_cell_length_a 4.9256
_cell_length_b 4.9256
_cell_length_c 5.4170
_cell_angle_alpha 90.00
_cell_angle_beta 90.00
_cell_angle_gamma 90.00
_space_group_name_H-M_alt 'P 1'
_space_group_IT_number 1
_space_group_name_Hall 'P 1'
loop_
_atom_site_label
_atom_site_type_symbol
_atom_site_fract_x
_atom_site_fract_y
_atom_site_fract_z
Pb1 Pb 0.5000 0.5000 0.5000
I1 I 0.0000 0.0000 0.5000
Be1 Be 0.0000 0.0000 0.0000
Sb1 Sb 0.0000 0.5000 0.0000
Sb2 Sb 0.5000 0.0000 0.0000


2.
# PBEsol BeTc2PbI, relaxed
# ρ	8.5	g/cm³
# space group	P4/mmm (123)
data_BeTc2PbI
_chemical_formula_sum 'Be1 Tc2 Pb1 I1'
_cell_length_a 4.4411
_cell_length_b 4.8819
_cell_length_c 4.8819
_cell_angle_alpha 90.00
_cell_angle_beta 90.00
_cell_angle_gamma 90.00
_space_group_name_H-M_alt 'P 1'
_space_group_IT_number 1
_space_group_name_Hall 'P 1'
loop_
_atom_site_label
_atom_site_type_symbol
_atom_site_fract_x
_atom_site_fract_y
_atom_site_fract_z
Pb1 Pb 0.5000 0.5000 0.5000
I1 I 0.0000 0.0000 0.0000
Tc1 Tc 0.0000 0.0000 0.5000
Tc2 Tc 0.0000 0.5000 0.0000
Be1 Be 0.5000 0.0000 0.0000


| no. | D(E_F) (states/eV per atom) | formation energy without anion corrections (eV per formula unit) |
| --- | --- | --- |
| 1 | 0.74 | 1.55 |
| 2 | 1.20 | 9.06 |